Below is a relaxed structure of LuFeSiAg, with properties calculated at the PBE level.

**Calculated density**: 9.29 g/cm³
**Electronic total energy**: -5.272 eV per atom

a b c (Å): 4.5257 4.5257 4.5257
angles (deg): 60.00 60.00 60.00
Element x y z (fractional)
1 Lu 0.0000 0.0000 0.0000
2 Fe 0.7500 0.7500 0.7500
3 Si 0.5000 0.5000 0.5000
4 Ag 0.2500 0.2500 0.2500



Below is a relaxed structure of NbCoAs, with properties calculated at the PBE level.

**Calculated density**: 8.49 g/cm³
**Electronic total energy**: -7.577 eV per atom

a b c (Å): 5.3010 3.7484 8.9303
angles (deg): 90.00 90.00 90.00
Element x y z (fractional)
1 Nb 0.1269 0.2500 0.1292
2 Nb 0.3731 0.7500 0.6292
3 Nb 0.6269 0.2500 0.3708
4 Nb 0.8731 0.7500 0.8708
5 Co 0.1211 0.2500 0.4576
6 Co 0.3789 0.7500 0.9576
7 Co 0.6211 0.2500 0.0424
8 Co 0.8789 0.7500 0.5424
9 As 0.2417 0.7500 0.3357
10 As 0.2583 0.2500 0.8357
11 As 0.7417 0.7500 0.1643
12 As 0.7583 0.2500 0.6643



Below is a relaxed structure of ScHg2Ir, with properties calculated at the PBE level.

**Calculated density**: 13.94 g/cm³
**ΔE_f**: -0.120 eV/atom

a b c (Å): 4.7552 4.7552 4.7552
angles (deg): 60.00 60.00 60.00
Element x y z (fractional)
1 Sc 0.0000 0.0000 0.0000
2 Hg 0.5000 0.5000 0.5000
3 Hg 0.7500 0.7500 0.7500
4 Ir 0.2500 0.2500 0.2500



Below is a relaxed structure of BaNbO3, with properties calculated at the PBE level.

**Calculated density**: 5.77 g/cm³
**Electronic total energy**: -7.871 eV per atom

a b c (Å): 6.4654 6.4654 6.4654
angles (deg): 53.11 53.11 53.11
Element x y z (fractional)
1 Ba 0.1272 0.1272 0.1272
2 Ba 0.8728 0.8728 0.8728
3 Nb 0.3404 0.3404 0.3404
4 Nb 0.6596 0.6596 0.6596
5 O 0.0604 0.4929 0.6571
6 O 0.3429 0.9396 0.5071
7 O 0.4929 0.6571 0.0604
8 O 0.5071 0.3429 0.9396
9 O 0.6571 0.0604 0.4929
10 O 0.9396 0.5071 0.3429



Below is a relaxed structure of KMgTc, with properties calculated at the PBE level.

**Calculated density**: 2.80 g/cm³
**Electronic total energy**: -2.813 eV per atom

a b c (Å): 5.1349 5.1349 5.1349
angles (deg): 60.00 60.00 60.00
Element x y z (fractional)
1 K 0.0000 0.0000 0.0000
2 Mg 0.5000 0.5000 0.5000
3 Tc 0.2500 0.2500 0.2500



Below is a relaxed structure of BaCoCuTe, with properties calculated at the PBE level.

**Calculated density**: 6.10 g/cm³
**Electronic total energy**: -3.549 eV per atom

a b c (Å): 5.3024 5.3024 5.3024
angles (deg): 60.00 60.00 60.00
Element x y z (fractional)
1 Ba 0.0000 0.0000 0.0000
2 Co 0.2500 0.2500 0.2500
3 Cu 0.5000 0.5000 0.5000
4 Te 0.7500 0.7500 0.7500